Record 1
Compound: KHfTl2F8
Source: the Alexandria database
Functional: PBE
Structure: relaxed

Structure (CIF):
```
data_KHfTl2F8
_cell_length_a 5.620
_cell_length_b 7.458
_cell_length_c 5.943
_cell_angle_alpha 90.00
_cell_angle_beta 90.96
_cell_angle_gamma 90.00
_space_group_name_H-M_alt 'P 1 2/m 1'
_space_group_IT_number 10
_space_group_name_Hall '-P 2y'
loop_
_atom_site_label
_atom_site_type_symbol
_atom_site_fract_x
_atom_site_fract_y
_atom_site_fract_z
K1 K 0.000 0.000 0.000
Hf1 Hf 0.000 0.500 0.000
Tl1 Tl 0.500 0.261 0.500
F1 F 0.159 0.305 0.184
F2 F 0.272 0.500 0.786
F3 F 0.338 0.000 0.676
```



Record 2
Compound: KHf2TlF
Source: the Alexandria database
Functional: PBE
Structure: relaxed

Structure (CIF):
```
data_KHf2TlF
_cell_length_a 5.119
_cell_length_b 5.119
_cell_length_c 5.832
_cell_angle_alpha 90.00
_cell_angle_beta 90.00
_cell_angle_gamma 90.00
_space_group_name_H-M_alt 'P 4/m m m'
_space_group_IT_number 123
_space_group_name_Hall '-P 4 2'
loop_
_atom_site_label
_atom_site_type_symbol
_atom_site_fract_x
_atom_site_fract_y
_atom_site_fract_z
K1 K 0.000 0.000 0.000
Hf1 Hf 0.000 0.500 0.000
Tl1 Tl 0.000 0.000 0.500
F1 F 0.500 0.500 0.500
```



Record 3
Compound: LaHfF3
Source: the Alexandria database
Functional: PBE
Structure: relaxed

Structure (CIF):
```
data_LaHfF3
_cell_length_a 4.787
_cell_length_b 4.787
_cell_length_c 4.787
_cell_angle_alpha 90.00
_cell_angle_beta 90.00
_cell_angle_gamma 90.00
_space_group_name_H-M_alt 'P m -3 m'
_space_group_IT_number 221
_space_group_name_Hall '-P 4 2 3'
loop_
_atom_site_label
_atom_site_type_symbol
_atom_site_fract_x
_atom_site_fract_y
_atom_site_fract_z
La1 La 0.000 0.000 0.000
Hf1 Hf 0.500 0.500 0.500
F1 F 0.000 0.000 0.500
```



Record 4
Compound: La2HfF
Source: the Alexandria database
Functional: PBE
Structure: relaxed

Structure (CIF):
```
data_La2HfF
_cell_length_a 7.597
_cell_length_b 7.597
_cell_length_c 7.734
_cell_angle_alpha 90.00
_cell_angle_beta 90.00
_cell_angle_gamma 90.00
_space_group_name_H-M_alt 'I -4 2 d'
_space_group_IT_number 122
_space_group_name_Hall 'I -4 2bw'
loop_
_atom_site_label
_atom_site_type_symbol
_atom_site_fract_x
_atom_site_fract_y
_atom_site_fract_z
La1 La 0.156 0.250 0.125
Hf1 Hf 0.000 0.000 0.500
F1 F 0.000 0.000 0.000
```



Record 5
Compound: LaHf2F
Source: the Alexandria database
Functional: PBE
Structure: relaxed

Structure (CIF):
```
data_LaHf2F
_cell_length_a 7.047
_cell_length_b 7.047
_cell_length_c 7.047
_cell_angle_alpha 90.00
_cell_angle_beta 90.00
_cell_angle_gamma 90.00
_space_group_name_H-M_alt 'F m -3 m'
_space_group_IT_number 225
_space_group_name_Hall '-F 4 2 3'
loop_
_atom_site_label
_atom_site_type_symbol
_atom_site_fract_x
_atom_site_fract_y
_atom_site_fract_z
La1 La 0.000 0.000 0.000
Hf1 Hf 0.250 0.250 0.250
F1 F 0.000 0.000 0.500
```



Record 6
Compound: La2HfF
Source: the Alexandria database
Functional: PBE
Structure: relaxed

Structure (CIF):
```
data_La2HfF
_cell_length_a 7.496
_cell_length_b 7.496
_cell_length_c 7.496
_cell_angle_alpha 90.00
_cell_angle_beta 90.00
_cell_angle_gamma 90.00
_space_group_name_H-M_alt 'F m -3 m'
_space_group_IT_number 225
_space_group_name_Hall '-F 4 2 3'
loop_
_atom_site_label
_atom_site_type_symbol
_atom_site_fract_x
_atom_site_fract_y
_atom_site_fract_z
La1 La 0.250 0.250 0.250
Hf1 Hf 0.000 0.000 0.000
F1 F 0.000 0.000 0.500
```



Record 7
Compound: LaHfF3
Source: the Alexandria database
Functional: PBE
Structure: relaxed

Structure (CIF):
```
data_LaHfF3
_cell_length_a 4.426
_cell_length_b 4.426
_cell_length_c 4.426
_cell_angle_alpha 90.00
_cell_angle_beta 90.00
_cell_angle_gamma 90.00
_space_group_name_H-M_alt 'P m -3 m'
_space_group_IT_number 221
_space_group_name_Hall '-P 4 2 3'
loop_
_atom_site_label
_atom_site_type_symbol
_atom_site_fract_x
_atom_site_fract_y
_atom_site_fract_z
La1 La 0.000 0.000 0.000
Hf1 Hf 0.500 0.500 0.500
F1 F 0.000 0.500 0.500
```



Record 8
Compound: LaHf2F
Source: the Alexandria database
Functional: PBE
Structure: relaxed

Structure (CIF):
```
data_LaHf2F
_cell_length_a 6.831
_cell_length_b 6.831
_cell_length_c 8.679
_cell_angle_alpha 90.00
_cell_angle_beta 90.00
_cell_angle_gamma 90.00
_space_group_name_H-M_alt 'I -4 2 d'
_space_group_IT_number 122
_space_group_name_Hall 'I -4 2bw'
loop_
_atom_site_label
_atom_site_type_symbol
_atom_site_fract_x
_atom_site_fract_y
_atom_site_fract_z
La1 La 0.000 0.000 0.000
Hf1 Hf 0.084 0.250 0.625
F1 F 0.000 0.000 0.500
```



Record 9
Compound: LaHfNF2
Source: the Alexandria database
Functional: PBE
Structure: relaxed

Structure (CIF):
```
data_LaHfNF2
_cell_length_a 4.225
_cell_length_b 4.225
_cell_length_c 7.294
_cell_angle_alpha 90.00
_cell_angle_beta 90.00
_cell_angle_gamma 90.00
_space_group_name_H-M_alt 'P 4/m m m'
_space_group_IT_number 123
_space_group_name_Hall '-P 4 2'
loop_
_atom_site_label
_atom_site_type_symbol
_atom_site_fract_x
_atom_site_fract_y
_atom_site_fract_z
La1 La 0.000 0.000 0.000
Hf1 Hf 0.000 0.000 0.500
N1 N 0.500 0.500 0.500
F1 F 0.000 0.500 0.000
```



Record 10
Compound: LaHfNF2
Source: the Alexandria database
Functional: PBE
Structure: relaxed

Structure (CIF):
```
data_LaHfNF2
_cell_length_a 4.410
_cell_length_b 4.410
_cell_length_c 5.276
_cell_angle_alpha 90.00
_cell_angle_beta 90.00
_cell_angle_gamma 90.00
_space_group_name_H-M_alt 'P 4/m m m'
_space_group_IT_number 123
_space_group_name_Hall '-P 4 2'
loop_
_atom_site_label
_atom_site_type_symbol
_atom_site_fract_x
_atom_site_fract_y
_atom_site_fract_z
La1 La 0.000 0.000 0.000
Hf1 Hf 0.500 0.500 0.500
N1 N 0.000 0.000 0.500
F1 F 0.000 0.500 0.000
```



Record 11
Compound: LaHfNF2
Source: the Alexandria database
Functional: PBE
Structure: relaxed

Structure (CIF):
```
data_LaHfNF2
_cell_length_a 4.258
_cell_length_b 4.258
_cell_length_c 4.279
_cell_angle_alpha 90.00
_cell_angle_beta 90.00
_cell_angle_gamma 90.00
_space_group_name_H-M_alt 'P 4/m m m'
_space_group_IT_number 123
_space_group_name_Hall '-P 4 2'
loop_
_atom_site_label
_atom_site_type_symbol
_atom_site_fract_x
_atom_site_fract_y
_atom_site_fract_z
La1 La 0.000 0.000 0.000
Hf1 Hf 0.500 0.500 0.500
N1 N 0.500 0.500 0.000
F1 F 0.000 0.500 0.500
```



Record 12
Compound: LaHfPF2
Source: the Alexandria database
Functional: PBE
Structure: relaxed

Structure (CIF):
```
data_LaHfPF2
_cell_length_a 4.123
_cell_length_b 4.123
_cell_length_c 7.292
_cell_angle_alpha 90.00
_cell_angle_beta 90.00
_cell_angle_gamma 90.00
_space_group_name_H-M_alt 'P 4/m m m'
_space_group_IT_number 123
_space_group_name_Hall '-P 4 2'
loop_
_atom_site_label
_atom_site_type_symbol
_atom_site_fract_x
_atom_site_fract_y
_atom_site_fract_z
La1 La 0.000 0.000 0.000
Hf1 Hf 0.000 0.000 0.500
P1 P 0.500 0.500 0.000
F1 F 0.000 0.500 0.500
```



Number 1: ΔE_f (raw) -3252 kJ/mol of formula units. Number 2: ΔE_f (raw) 875 kJ/mol of formula units. Number 3: ΔE_f (raw) -937 kJ/mol of formula units. Number 4: ΔE_f (raw) -315 kJ/mol of formula units. Number 5: ΔE_f (raw) 114 kJ/mol of formula units. Number 6: ΔE_f (raw) -69 kJ/mol of formula units. Number 7: ΔE_f (raw) -946 kJ/mol of formula units. Number 8: ΔE_f (raw) -154 kJ/mol of formula units. Number 9: ΔE_f (raw) -455 kJ/mol of formula units. Number 10: ΔE_f (raw) -559 kJ/mol of formula units. Number 11: ΔE_f (raw) -969 kJ/mol of formula units. Number 12: ΔE_f (raw) -935 kJ/mol of formula units.